Computed, not measured: crystalline BaCCl2 at its relaxed geometry at the GGA-PBEsol level of DFT.

Results
Fermi-level density of states (states/eV/f.u.): 1.266
Calculated total energy (eV per atom): -3.8142

Lattice parameters (Å, degrees): 4.931 4.931 18.112 90.00 90.00 90.00
Space group I-42d (No. 122)
One atom of each set of equivalent atoms:
Ba 0.000 0.000 0.000
C 0.000 0.000 0.500
Cl 0.206 0.250 0.625